Entry from the Alexandria database: Ac2TlAuO6 after structural relaxation (PBE-GGA).

Results
Its total energy is -6.06 eV per atom. As for the crystal system: tetragonal.

a b c (Å): 5.7272 5.5727 5.5727
angles (deg): 90.00 90.00 90.00
Fractional coordinates of all 10 atoms:
1 Ac 0.0137 0.5000 0.0000
2 Ac 0.0137 0.0000 0.5000
3 Tl 0.5301 0.5000 0.5000
4 Au 0.6699 0.0000 0.0000
5 O 0.7312 0.2542 0.2542
6 O 0.7312 0.2542 0.7458
7 O 0.1537 0.5000 0.5000
8 O 0.1409 0.0000 0.0000
9 O 0.7312 0.7458 0.7458
10 O 0.7312 0.7458 0.2542